Entry 1:
A relaxed structure of Sr2ZnInRh2, computed with PBE-GGA.

Structure (CIF):
```
data_Sr2ZnInRh2
_chemical_formula_sum 'Sr4 Zn2 In2 Rh4'
_space_group_name_H-M_alt 'P 1'
_space_group_IT_number 1
_space_group_name_Hall 'P 1'
_cell_length_a 6.2984
_cell_length_b 6.3166
_cell_length_c 8.5526
_cell_angle_alpha 111.67
_cell_angle_beta 111.61
_cell_angle_gamma 90.00
loop_
_atom_site_label
_atom_site_type_symbol
_atom_site_fract_x
_atom_site_fract_y
_atom_site_fract_z
Rh1 Rh 0.1337 0.8988 0.7976
Rh2 Rh 0.6639 0.3988 0.7976
Rh3 Rh 0.3361 0.6012 0.2024
Rh4 Rh 0.8663 0.1012 0.2024
Sr1 Sr 0.9290 0.6718 0.3436
Sr2 Sr 0.4146 0.1718 0.3436
Sr3 Sr 0.0710 0.3282 0.6564
Sr4 Sr 0.5854 0.8282 0.6564
Zn1 Zn 0.0000 0.2500 0.0000
Zn2 Zn 0.0000 0.7500 0.0000
In1 In 0.5000 0.2500 0.0000
In2 In 0.5000 0.7500 0.0000
```

Computed properties:
ΔH_f (0 K) = -0.37 eV per atom
Calculated total energy = -4.05 eV per atom
M_tot = 0.000 μB/atom
SG = No. 72

---

Entry 2:
A relaxed structure of Y2InSi4Pt3, computed with PBE-GGA.

Structure (CIF):
```
data_Y2InSi4Pt3
_chemical_formula_sum 'Y2 In1 Si4 Pt3'
_space_group_name_H-M_alt 'P 1'
_space_group_IT_number 1
_space_group_name_Hall 'P 1'
_cell_length_a 4.1788
_cell_length_b 4.1788
_cell_length_c 10.4233
_cell_angle_alpha 90.00
_cell_angle_beta 90.00
_cell_angle_gamma 90.00
loop_
_atom_site_label
_atom_site_type_symbol
_atom_site_fract_x
_atom_site_fract_y
_atom_site_fract_z
Si1 Si 0.0000 0.5000 0.3463
Si2 Si 0.5000 0.5000 0.0000
Si3 Si 0.0000 0.0000 0.0000
Si4 Si 0.5000 0.0000 0.6537
Pt1 Pt 0.5000 0.0000 0.8806
Pt2 Pt 0.0000 0.0000 0.5000
Pt3 Pt 0.0000 0.5000 0.1194
In1 In 0.5000 0.5000 0.5000
Y1 Y 0.5000 0.0000 0.2401
Y2 Y 0.0000 0.5000 0.7599
```

Computed properties:
Calculated total energy = -6.44 eV per atom
M_tot = 0.000 μB/atom
SG = No. 115

---

Entry 3:
A relaxed structure of ZnReOs, computed with PBE-GGA.

Structure (CIF):
```
data_ZnReOs
_chemical_formula_sum 'Zn4 Re4 Os4'
_space_group_name_H-M_alt 'P 1'
_space_group_IT_number 1
_space_group_name_Hall 'P 1'
_cell_length_a 6.9018
_cell_length_b 4.6835
_cell_length_c 8.2027
_cell_angle_alpha 90.00
_cell_angle_beta 139.64
_cell_angle_gamma 90.00
loop_
_atom_site_label
_atom_site_type_symbol
_atom_site_fract_x
_atom_site_fract_y
_atom_site_fract_z
Os1 Os 0.5368 0.0788 0.2200
Os2 Os 0.0368 0.4212 0.2200
Os3 Os 0.5368 0.5788 0.7200
Os4 Os 0.0368 0.9212 0.7200
Zn1 Zn 0.0439 0.9176 0.3930
Zn2 Zn 0.0439 0.4176 0.8930
Zn3 Zn 0.5439 0.0824 0.8930
Zn4 Zn 0.5439 0.5824 0.3930
Re1 Re 0.0480 0.9191 0.0633
Re2 Re 0.5480 0.5809 0.0633
Re3 Re 0.0480 0.4191 0.5633
Re4 Re 0.5480 0.0809 0.5633
```

Computed properties:
Relative energy among the computed polymorphs = 147 meV per atom
ΔH_f (0 K) = 0.18 eV per atom
Calculated total energy = -8.14 eV per atom
M_tot = 0.000 μB/atom
SG = No. 9

---

Entry 4:
A relaxed structure of NiSb2P, computed with PBE-GGA.

Structure (CIF):
```
data_NiSb2P
_chemical_formula_sum 'Ni1 Sb2 P1'
_space_group_name_H-M_alt 'P 1'
_space_group_IT_number 1
_space_group_name_Hall 'P 1'
_cell_length_a 4.8301
_cell_length_b 4.8301
_cell_length_c 4.8301
_cell_angle_alpha 60.00
_cell_angle_beta 60.00
_cell_angle_gamma 60.00
loop_
_atom_site_label
_atom_site_type_symbol
_atom_site_fract_x
_atom_site_fract_y
_atom_site_fract_z
Sb1 Sb 0.7500 0.7500 0.7500
Sb2 Sb 0.0000 0.0000 0.0000
Ni1 Ni 0.5000 0.5000 0.5000
P1 P 0.2500 0.2500 0.2500
```

Computed properties:
Calculated total energy = -4.29 eV per atom
M_tot = 0.000 μB/atom
SG = No. 216

---

Entry 5:
A relaxed structure of La2PrDy2Y4, computed with PBE-GGA.

Structure (CIF):
```
data_La2PrDy2Y4
_chemical_formula_sum 'La2 Pr1 Dy2 Y4'
_space_group_name_H-M_alt 'P 1'
_space_group_IT_number 1
_space_group_name_Hall 'P 1'
_cell_length_a 3.6522
_cell_length_b 9.6459
_cell_length_c 9.6769
_cell_angle_alpha 115.27
_cell_angle_beta 90.00
_cell_angle_gamma 100.91
loop_
_atom_site_label
_atom_site_type_symbol
_atom_site_fract_x
_atom_site_fract_y
_atom_site_fract_z
Y1 Y 0.8137 0.6273 0.6626
Y2 Y 0.1863 0.3727 0.3374
Y3 Y 0.4800 0.9600 0.6614
Y4 Y 0.5200 0.0400 0.3386
La1 La 0.6666 0.3331 0.9976
La2 La 0.3334 0.6669 0.0024
Dy1 Dy 0.1477 0.2955 0.6629
Dy2 Dy 0.8523 0.7045 0.3371
Pr1 Pr 0.0000 0.0000 0.0000
```

Computed properties:
ΔH_f (0 K) = -0.01 eV per atom
Calculated total energy = -5.53 eV per atom
M_tot = 0.000 μB/atom
SG = No. 12

---

Entry 6:
A relaxed structure of Nd3Tm4, computed with PBE-GGA.

Structure (CIF):
```
data_Nd3Tm4
_chemical_formula_sum 'Nd3 Tm4'
_space_group_name_H-M_alt 'P 1'
_space_group_IT_number 1
_space_group_name_Hall 'P 1'
_cell_length_a 3.4912
_cell_length_b 8.7208
_cell_length_c 9.1670
_cell_angle_alpha 122.76
_cell_angle_beta 100.98
_cell_angle_gamma 90.00
loop_
_atom_site_label
_atom_site_type_symbol
_atom_site_fract_x
_atom_site_fract_y
_atom_site_fract_z
Tm1 Tm 0.6333 0.8576 0.2665
Tm2 Tm 0.9230 0.5430 0.8461
Tm3 Tm 0.3667 0.1424 0.7335
Tm4 Tm 0.0770 0.4570 0.1539
Nd1 Nd 0.7768 0.7066 0.5536
Nd2 Nd 0.2232 0.2934 0.4464
Nd3 Nd 0.0000 0.0000 0.0000
```

Computed properties:
Relative energy among the computed polymorphs = 104 meV per atom
ΔH_f (0 K) = 0.13 eV per atom
Calculated total energy = -4.47 eV per atom
M_tot = 0.000 μB/atom
SG = No. 12

---

Entry 7:
A relaxed structure of SrAcPdRh, computed with PBE-GGA.

Structure (CIF):
```
data_SrAcPdRh
_chemical_formula_sum 'Sr1 Ac1 Pd1 Rh1'
_space_group_name_H-M_alt 'P 1'
_space_group_IT_number 1
_space_group_name_Hall 'P 1'
_cell_length_a 5.2482
_cell_length_b 5.2482
_cell_length_c 5.2482
_cell_angle_alpha 60.00
_cell_angle_beta 60.00
_cell_angle_gamma 60.00
loop_
_atom_site_label
_atom_site_type_symbol
_atom_site_fract_x
_atom_site_fract_y
_atom_site_fract_z
Rh1 Rh 0.5000 0.5000 0.5000
Pd1 Pd 0.0000 0.0000 0.0000
Sr1 Sr 0.7500 0.7500 0.7500
Ac1 Ac 0.2500 0.2500 0.2500
```

Computed properties:
Relative energy among the computed polymorphs = 105 meV per atom
ΔH_f (0 K) = -0.50 eV per atom
Calculated total energy = -5.09 eV per atom
M_tot = 0.000 μB/atom
SG = No. 216

---

Entry 8:
A relaxed structure of Dy4HoEr10, computed with PBE-GGA.

Structure (CIF):
```
data_Dy4HoEr10
_chemical_formula_sum 'Dy4 Ho1 Er10'
_space_group_name_H-M_alt 'P 1'
_space_group_IT_number 1
_space_group_name_Hall 'P 1'
_cell_length_a 7.5922
_cell_length_b 9.3115
_cell_length_c 9.3115
_cell_angle_alpha 80.43
_cell_angle_beta 65.94
_cell_angle_gamma 65.94
loop_
_atom_site_label
_atom_site_type_symbol
_atom_site_fract_x
_atom_site_fract_y
_atom_site_fract_z
Er1 Er 0.9503 0.8994 0.7004
Er2 Er 0.4498 0.8994 0.7004
Er3 Er 0.6508 0.2996 0.8994
Er4 Er 0.3492 0.7004 0.1006
Er5 Er 0.2500 0.5000 0.5000
Er6 Er 0.1502 0.2996 0.8994
Er7 Er 0.7500 0.5000 0.5000
Er8 Er 0.5502 0.1006 0.2996
Er9 Er 0.0497 0.1006 0.2996
Er10 Er 0.8498 0.7004 0.1006
Ho1 Ho 0.0000 0.0000 0.0000
Dy1 Dy 0.7997 0.5999 0.8007
Dy2 Dy 0.2003 0.4001 0.1993
Dy3 Dy 0.6004 0.1993 0.5999
Dy4 Dy 0.3996 0.8007 0.4001
```

Computed properties:
ΔH_f (0 K) = 0.73 eV per atom
Calculated total energy = -3.84 eV per atom
M_tot = 0.000 μB/atom
SG = No. 87